A plane-wave DFT calculation with PBE-GGA was carried out for a relaxed LiYI2 crystal.

Geometry as extended XYZ:
```
8
Lattice="-6.486 0.260 2.806 -2.103 -5.132 -4.387 -2.736 -6.475 3.187" Properties=species:S:1:pos:R:3 pbc="T T T"
I -4.689 -2.110 1.867
I -3.120 -4.781 -1.460
I -5.373 -6.929 1.587
I -9.466 -8.873 1.217
Y 0.000 0.000 0.000
Y -6.758 -4.326 2.601
Li -4.294 -2.436 -0.791
Li -4.567 -7.022 -0.995
```

Properties
The formation energy (no corrections) is -234 kJ/mol of formula units. The energy comes out at -3.4768 eV per atom. The value obtained for the energy above the lowest structure with this stoichiometry is 1.45 kJ per mole of atoms. For the density of states at the Fermi level, the calculation gives 0.06 states/eV/atom.

A plane-wave DFT calculation with PBE-GGA was carried out for a relaxed Sc3TlOs crystal.

Geometry as extended XYZ:
```
5
Lattice="5.045 0.000 0.000 0.000 5.045 0.000 0.000 0.000 5.045" Properties=species:S:1:pos:R:3 pbc="T T T"
Sc 0.000 2.523 0.000
Sc 0.000 0.000 2.523
Sc 2.523 0.000 0.000
Tl 2.523 2.523 2.523
Os 0.000 0.000 0.000
```

Properties
As for the energy of formation: -0.263 eV per formula unit. The energy comes out at -6.5708 eV per atom. The value obtained for the energy above the lowest structure with this stoichiometry is 0.00 kJ per mole of atoms. For the density of states at the Fermi level, the calculation gives 0.73 states/eV/atom.

A plane-wave DFT calculation with PBE-GGA was carried out for a relaxed BeZnNi3 crystal.

Geometry as extended XYZ:
```
5
Lattice="-1.836 -2.125 -2.683 2.225 -3.054 0.896 -2.600 -1.114 2.661" Properties=species:S:1:pos:R:3 pbc="T T T"
Ni 1.113 -1.527 0.448
Ni -1.300 -0.557 1.331
Ni -0.918 -1.062 -1.341
Zn -1.105 -3.146 0.437
Be 0.000 0.000 0.000
```

Properties
As for the energy of formation: 0.732 eV per formula unit. The energy comes out at -4.3223 eV per atom. The value obtained for the energy above the lowest structure with this stoichiometry is 0.00 kJ per mole of atoms. For the density of states at the Fermi level, the calculation gives 0.09 states/eV/atom.

A plane-wave DFT calculation with PBE-GGA was carried out for a relaxed BaAl2GaAg4 crystal.

Geometry as extended XYZ:
```
8
Lattice="-3.438 -2.546 -1.458 0.323 -2.191 -3.941 2.819 -9.486 2.911" Properties=species:S:1:pos:R:3 pbc="T T T"
Ba 0.000 0.000 0.000
Al -0.333 -10.441 -2.000
Al 0.036 -3.782 -0.487
Ga -0.148 -7.111 -1.244
Ag 0.880 -9.219 0.012
Ag -1.548 -7.950 -3.485
Ag 1.252 -6.273 0.997
Ag -1.176 -5.004 -2.499
```

Properties
As for the energy of formation: -0.826 eV per formula unit. The energy comes out at -3.0833 eV per atom. For the density of states at the Fermi level, the calculation gives 0.23 states/eV/atom.

A plane-wave DFT calculation with PBE-GGA was carried out for a relaxed HfIrS2N crystal.

Geometry as extended XYZ:
```
5
Lattice="4.840 0.000 0.000 0.000 4.840 0.000 0.000 0.000 3.639" Properties=species:S:1:pos:R:3 pbc="T T T"
S 0.000 2.420 0.000
S 2.420 0.000 0.000
Ir 0.000 0.000 0.000
Hf 2.420 2.420 1.820
N 0.000 0.000 1.820
```

Properties
The formation energy (no corrections) is 88 kJ/mol of formula units. The energy comes out at -6.8960 eV per atom. The value obtained for the energy above the lowest structure with this stoichiometry is 0.00 kJ per mole of atoms. For the density of states at the Fermi level, the calculation gives 0.61 states/eV/atom.

A plane-wave DFT calculation with PBE-GGA was carried out for a relaxed PrLu3H crystal.

Geometry as extended XYZ:
```
5
Lattice="4.945 0.000 0.000 0.000 4.945 0.000 0.000 0.000 4.945" Properties=species:S:1:pos:R:3 pbc="T T T"
Pr 2.472 2.472 2.472
H 0.000 0.000 0.000
Lu 0.000 2.472 0.000
Lu 0.000 0.000 2.472
Lu 2.472 0.000 0.000
```

Properties
The energy comes out at -4.4848 eV per atom. For the density of states at the Fermi level, the calculation gives 0.81 states/eV/atom.